1.
# Ba2CaTc | Alexandria via LeMat-Bulk | PBE | relaxed
data_Ba2CaTc
_cell_length_a 3.9706
_cell_length_b 3.9706
_cell_length_c 9.6621
_cell_angle_alpha 90.00
_cell_angle_beta 90.00
_cell_angle_gamma 90.00
_symmetry_space_group_name_H-M 'P 4 m m'
_symmetry_Int_Tables_number 99
_symmetry_space_group_name_Hall 'P 4 -2'
loop_
_atom_site_label
_atom_site_type_symbol
_atom_site_fract_x
_atom_site_fract_y
_atom_site_fract_z
Ba1 Ba 0.0000 0.0000 0.0000
Ba2 Ba 0.5000 0.5000 0.3825
Ca1 Ca 0.0000 0.0000 0.6559
Tc1 Tc 0.5000 0.5000 0.7820
# - formation enthalpy at 0 K (eV per atom) = 0.630
# - energy relative to the lowest polymorph listed for this composition (meV per atom) = 29

2.
# NaPuReN3 | Alexandria via LeMat-Bulk | PBE | relaxed
data_NaPuReN3
_cell_length_a 7.0920
_cell_length_b 3.4661
_cell_length_c 8.7076
_cell_angle_alpha 90.00
_cell_angle_beta 101.13
_cell_angle_gamma 90.00
_symmetry_space_group_name_H-M 'P 1 21/m 1'
_symmetry_Int_Tables_number 11
_symmetry_space_group_name_Hall '-P 2yb'
loop_
_atom_site_label
_atom_site_type_symbol
_atom_site_fract_x
_atom_site_fract_y
_atom_site_fract_z
Na1 Na 0.1684 0.2500 0.1402
Pu1 Pu 0.3573 0.7500 0.8487
Re1 Re 0.0456 0.2500 0.6172
N1 N 0.1189 0.2500 0.8362
N2 N 0.1753 0.7500 0.5804
N3 N 0.4427 0.7500 0.1064
# - energy (eV per formula unit) = -55.44

3.
# KIr2W | Alexandria via LeMat-Bulk | PBE | relaxed
data_KIr2W
_cell_length_a 2.8676
_cell_length_b 4.7008
_cell_length_c 10.6125
_cell_angle_alpha 90.00
_cell_angle_beta 90.00
_cell_angle_gamma 90.00
_symmetry_space_group_name_H-M 'C m m 2'
_symmetry_Int_Tables_number 35
_symmetry_space_group_name_Hall 'C 2 -2'
loop_
_atom_site_label
_atom_site_type_symbol
_atom_site_fract_x
_atom_site_fract_y
_atom_site_fract_z
K1 K 0.0000 0.0000 0.0000
Ir1 Ir 0.0000 0.0000 0.4855
Ir2 Ir 0.0000 0.5000 0.2614
W1 W 0.0000 0.5000 0.6955
# - formation enthalpy at 0 K (eV per atom) = 0.761
# - energy relative to the lowest polymorph listed for this composition (meV per atom) = 483